Record 1
The following is a DFT calculation (PBE-GGA) of a geometry-optimized LiSc3 structure.

Values from the calculation:
Electronic total energy   -5.1024 eV/atom
Calculated formation energy   2.9 kcal/mol of atoms
Calculated volume   23.1 A^3/atom
N(E_F)   1.2650 states/eV/atom

Structure (CIF):
```
data_LiSc3
_cell_length_a 10.511
_cell_length_b 6.943
_cell_length_c 5.060
_cell_angle_alpha 90.00
_cell_angle_beta 90.00
_cell_angle_gamma 90.00
_space_group_name_H-M_alt 'C m c m'
_space_group_IT_number 63
_space_group_name_Hall '-C 2c 2'
loop_
_atom_site_label
_atom_site_type_symbol
_atom_site_fract_x
_atom_site_fract_y
_atom_site_fract_z
Li1 Li 0.000 0.085 0.250
Sc1 Sc 0.000 0.343 0.750
Sc2 Sc 0.217 0.366 0.250
```

Record 2
The following is a DFT calculation (PBE-GGA) of a geometry-optimized LiSc5 structure.

Values from the calculation:
Electronic total energy   -5.5107 eV/atom
Calculated formation energy   1.9 kcal/mol of atoms
Calculated volume   23.7 A^3/atom
N(E_F)   1.5034 states/eV/atom

Structure (CIF):
```
data_LiSc5
_cell_length_a 11.516
_cell_length_b 3.317
_cell_length_c 7.813
_cell_angle_alpha 90.00
_cell_angle_beta 107.71
_cell_angle_gamma 90.00
_space_group_name_H-M_alt 'C 1 m 1'
_space_group_IT_number 8
loop_
_space_group_symop_operation_xyz
'x,y,z'
'x,-y,z'
'x+1/2,y+1/2,z'
'x+1/2,-y+1/2,z'
loop_
_atom_site_label
_atom_site_type_symbol
_atom_site_fract_x
_atom_site_fract_y
_atom_site_fract_z
Li1 Li 0.000 0.000 0.000
Sc1 Sc 0.115 0.500 0.741
Sc2 Sc 0.145 0.500 0.339
Sc3 Sc 0.293 0.000 0.081
Sc4 Sc 0.326 0.000 0.680
Sc5 Sc 0.428 0.500 0.423
```

Record 3
The following is a DFT calculation (PBE-GGA) of a geometry-optimized LiSc3 structure.

Values from the calculation:
Electronic total energy   -5.0472 eV/atom
Calculated formation energy   4.1 kcal/mol of atoms
Calculated volume   23.1 A^3/atom
N(E_F)   1.6098 states/eV/atom

Structure (CIF):
```
data_LiSc3
_cell_length_a 5.092
_cell_length_b 5.092
_cell_length_c 3.565
_cell_angle_alpha 90.00
_cell_angle_beta 90.00
_cell_angle_gamma 90.00
_space_group_name_H-M_alt 'P 4/m m m'
_space_group_IT_number 123
_space_group_name_Hall '-P 4 2'
loop_
_atom_site_label
_atom_site_type_symbol
_atom_site_fract_x
_atom_site_fract_y
_atom_site_fract_z
Li1 Li 0.000 0.000 0.000
Sc1 Sc 0.000 0.500 0.500
Sc2 Sc 0.500 0.500 0.000
```

Record 4
The following is a DFT calculation (PBE-GGA) of a geometry-optimized LiSc2Se structure.

Values from the calculation:
Electronic total energy   -4.8836 eV/atom
Calculated volume   22.5 A^3/atom
N(E_F)   1.1061 states/eV/atom

Structure (CIF):
```
data_LiSc2Se
_cell_length_a 7.673
_cell_length_b 7.673
_cell_length_c 6.109
_cell_angle_alpha 90.00
_cell_angle_beta 90.00
_cell_angle_gamma 90.00
_space_group_name_H-M_alt 'I -4 2 d'
_space_group_IT_number 122
_space_group_name_Hall 'I -4 2bw'
loop_
_atom_site_label
_atom_site_type_symbol
_atom_site_fract_x
_atom_site_fract_y
_atom_site_fract_z
Li1 Li 0.000 0.000 0.000
Sc1 Sc 0.216 0.250 0.625
Se1 Se 0.000 0.000 0.500
```

Record 5
The following is a DFT calculation (PBE-GGA) of a geometry-optimized Li2ScSe structure.

Values from the calculation:
Electronic total energy   -3.9276 eV/atom
Calculated volume   21.3 A^3/atom
N(E_F)   0.2043 states/eV/atom

Structure (CIF):
```
data_Li2ScSe
_cell_length_a 8.041
_cell_length_b 8.041
_cell_length_c 5.258
_cell_angle_alpha 90.00
_cell_angle_beta 90.00
_cell_angle_gamma 90.00
_space_group_name_H-M_alt 'I -4 2 d'
_space_group_IT_number 122
_space_group_name_Hall 'I -4 2bw'
loop_
_atom_site_label
_atom_site_type_symbol
_atom_site_fract_x
_atom_site_fract_y
_atom_site_fract_z
Li1 Li 0.176 0.250 0.125
Sc1 Sc 0.000 0.000 0.500
Se1 Se 0.000 0.000 0.000
```

Record 6
The following is a DFT calculation (PBE-GGA) of a geometry-optimized Li2ScSe structure.

Values from the calculation:
Electronic total energy   -4.0610 eV/atom
Calculated volume   19.4 A^3/atom
N(E_F)   0.6333 states/eV/atom

Structure (CIF):
```
data_Li2ScSe
_cell_length_a 3.542
_cell_length_b 3.542
_cell_length_c 6.184
_cell_angle_alpha 90.00
_cell_angle_beta 90.00
_cell_angle_gamma 90.00
_space_group_name_H-M_alt 'P 4 m m'
_space_group_IT_number 99
loop_
_space_group_symop_operation_xyz
'x,y,z'
'-y,x,z'
'-x,-y,z'
'y,-x,z'
'-x,y,z'
'y,x,z'
'x,-y,z'
'-y,-x,z'
loop_
_atom_site_label
_atom_site_type_symbol
_atom_site_fract_x
_atom_site_fract_y
_atom_site_fract_z
Li1 Li 0.000 0.000 0.000
Li2 Li 0.500 0.500 0.216
Sc1 Sc 0.000 0.000 0.516
Se1 Se 0.500 0.500 0.718
```

Record 7
The following is a DFT calculation (PBE-GGA) of a geometry-optimized LiScSe2 structure.

Values from the calculation:
Electronic total energy   -4.9809 eV/atom
Calculated volume   21.1 A^3/atom
N(E_F)   0.1344 states/eV/atom

Structure (CIF):
```
data_LiScSe2
_cell_length_a 7.222
_cell_length_b 7.075
_cell_length_c 3.595
_cell_angle_alpha 90.00
_cell_angle_beta 113.21
_cell_angle_gamma 90.00
_space_group_name_H-M_alt 'C 1 2/m 1'
_space_group_IT_number 12
loop_
_space_group_symop_operation_xyz
'x,y,z'
'-x,-y,-z'
'-x,y,-z'
'x,-y,z'
'x+1/2,y+1/2,z'
'-x+1/2,-y+1/2,-z'
'-x+1/2,y+1/2,-z'
'x+1/2,-y+1/2,z'
loop_
_atom_site_label
_atom_site_type_symbol
_atom_site_fract_x
_atom_site_fract_y
_atom_site_fract_z
Li1 Li 0.000 0.000 0.000
Sc1 Sc 0.000 0.500 0.000
Se1 Se 0.250 0.250 0.500
```

Record 8
The following is a DFT calculation (PBE-GGA) of a geometry-optimized LiScSe2 structure.

Values from the calculation:
Electronic total energy   -4.9332 eV/atom
Calculated volume   19.3 A^3/atom
N(E_F)   0.2259 states/eV/atom

Structure (CIF):
```
data_LiScSe2
_cell_length_a 3.804
_cell_length_b 3.804
_cell_length_c 10.663
_cell_angle_alpha 90.00
_cell_angle_beta 90.00
_cell_angle_gamma 90.00
_space_group_name_H-M_alt 'I -4 m 2'
_space_group_IT_number 119
_space_group_name_Hall 'I -4 -2'
loop_
_atom_site_label
_atom_site_type_symbol
_atom_site_fract_x
_atom_site_fract_y
_atom_site_fract_z
Li1 Li 0.000 0.000 0.000
Sc1 Sc 0.000 0.500 0.750
Se1 Se 0.000 0.000 0.500
Se2 Se 0.000 0.500 0.250
```

Record 9
The following is a DFT calculation (PBE-GGA) of a geometry-optimized LiSc2Se3 structure.

Values from the calculation:
Electronic total energy   -5.7828 eV/atom
Calculated volume   20.4 A^3/atom
N(E_F)   0.3930 states/eV/atom

Structure (CIF):
```
data_LiSc2Se3
_cell_length_a 3.847
_cell_length_b 5.465
_cell_length_c 11.635
_cell_angle_alpha 90.00
_cell_angle_beta 90.00
_cell_angle_gamma 90.00
_space_group_name_H-M_alt 'I m m m'
_space_group_IT_number 71
_space_group_name_Hall '-I 2 2'
loop_
_atom_site_label
_atom_site_type_symbol
_atom_site_fract_x
_atom_site_fract_y
_atom_site_fract_z
Li1 Li 0.000 0.000 0.000
Sc1 Sc 0.000 0.000 0.335
Se1 Se 0.000 0.500 0.000
Se2 Se 0.000 0.500 0.334
```

Record 10
The following is a DFT calculation (PBE-GGA) of a geometry-optimized LiScSe2 structure.

Values from the calculation:
Electronic total energy   -4.9953 eV/atom
Calculated volume   19.3 A^3/atom
N(E_F)   0.0335 states/eV/atom

Structure (CIF):
```
data_LiScSe2
_cell_length_a 6.761
_cell_length_b 6.761
_cell_length_c 6.761
_cell_angle_alpha 90.00
_cell_angle_beta 90.00
_cell_angle_gamma 90.00
_space_group_name_H-M_alt 'F m -3 m'
_space_group_IT_number 225
_space_group_name_Hall '-F 4 2 3'
loop_
_atom_site_label
_atom_site_type_symbol
_atom_site_fract_x
_atom_site_fract_y
_atom_site_fract_z
Li1 Li 0.000 0.000 0.000
Sc1 Sc 0.000 0.000 0.500
Se1 Se 0.250 0.250 0.250
```

Record 11
The following is a DFT calculation (PBE-GGA) of a geometry-optimized Li2ScSe structure.

Values from the calculation:
Electronic total energy   -3.9975 eV/atom
Calculated volume   20.0 A^3/atom
N(E_F)   0.8309 states/eV/atom

Structure (CIF):
```
data_Li2ScSe
_cell_length_a 3.437
_cell_length_b 4.228
_cell_length_c 11.010
_cell_angle_alpha 90.00
_cell_angle_beta 90.00
_cell_angle_gamma 90.00
_space_group_name_H-M_alt 'I m m m'
_space_group_IT_number 71
_space_group_name_Hall '-I 2 2'
loop_
_atom_site_label
_atom_site_type_symbol
_atom_site_fract_x
_atom_site_fract_y
_atom_site_fract_z
Li1 Li 0.000 0.000 0.209
Sc1 Sc 0.000 0.500 0.000
Se1 Se 0.000 0.500 0.500
```

Record 12
The following is a DFT calculation (PBE-GGA) of a geometry-optimized LiSc2Se structure.

Values from the calculation:
Electronic total energy   -5.0140 eV/atom
Calculated volume   19.3 A^3/atom
N(E_F)   0.3819 states/eV/atom

Structure (CIF):
```
data_LiSc2Se
_cell_length_a 4.153
_cell_length_b 4.153
_cell_length_c 8.949
_cell_angle_alpha 90.00
_cell_angle_beta 90.00
_cell_angle_gamma 90.00
_space_group_name_H-M_alt 'I 4/m m m'
_space_group_IT_number 139
_space_group_name_Hall '-I 4 2'
loop_
_atom_site_label
_atom_site_type_symbol
_atom_site_fract_x
_atom_site_fract_y
_atom_site_fract_z
Li1 Li 0.000 0.000 0.000
Sc1 Sc 0.000 0.500 0.250
Se1 Se 0.000 0.000 0.500
```

Record 13
The following is a DFT calculation (PBE-GGA) of a geometry-optimized LiScSe3 structure.

Values from the calculation:
Electronic total energy   -4.0931 eV/atom
Calculated volume   20.5 A^3/atom
N(E_F)   0.9869 states/eV/atom

Structure (CIF):
```
data_LiScSe3
_cell_length_a 4.681
_cell_length_b 4.681
_cell_length_c 4.681
_cell_angle_alpha 90.00
_cell_angle_beta 90.00
_cell_angle_gamma 90.00
_space_group_name_H-M_alt 'P m -3 m'
_space_group_IT_number 221
_space_group_name_Hall '-P 4 2 3'
loop_
_atom_site_label
_atom_site_type_symbol
_atom_site_fract_x
_atom_site_fract_y
_atom_site_fract_z
Li1 Li 0.000 0.000 0.000
Sc1 Sc 0.500 0.500 0.500
Se1 Se 0.000 0.000 0.500
```

Record 14
The following is a DFT calculation (PBE-GGA) of a geometry-optimized Li2ScSe structure.

Values from the calculation:
Electronic total energy   -4.0723 eV/atom
Calculated volume   17.9 A^3/atom
N(E_F)   0.5715 states/eV/atom

Structure (CIF):
```
data_Li2ScSe
_cell_length_a 3.918
_cell_length_b 3.918
_cell_length_c 4.656
_cell_angle_alpha 90.00
_cell_angle_beta 90.00
_cell_angle_gamma 90.00
_space_group_name_H-M_alt 'P 4/m m m'
_space_group_IT_number 123
_space_group_name_Hall '-P 4 2'
loop_
_atom_site_label
_atom_site_type_symbol
_atom_site_fract_x
_atom_site_fract_y
_atom_site_fract_z
Li1 Li 0.000 0.500 0.000
Sc1 Sc 0.000 0.000 0.500
Se1 Se 0.500 0.500 0.500
```

Record 15
The following is a DFT calculation (PBE-GGA) of a geometry-optimized Li2Sc3Se4 structure.

Values from the calculation:
Electronic total energy   -5.4897 eV/atom
Calculated volume   22.4 A^3/atom
N(E_F)   0.5446 states/eV/atom

Structure (CIF):
```
data_Li2Sc3Se4
_cell_length_a 12.908
_cell_length_b 3.823
_cell_length_c 9.914
_cell_angle_alpha 90.00
_cell_angle_beta 124.48
_cell_angle_gamma 90.00
_space_group_name_H-M_alt 'C 1 2/m 1'
_space_group_IT_number 12
loop_
_space_group_symop_operation_xyz
'x,y,z'
'-x,-y,-z'
'-x,y,-z'
'x,-y,z'
'x+1/2,y+1/2,z'
'-x+1/2,-y+1/2,-z'
'-x+1/2,y+1/2,-z'
'x+1/2,-y+1/2,z'
loop_
_atom_site_label
_atom_site_type_symbol
_atom_site_fract_x
_atom_site_fract_y
_atom_site_fract_z
Li1 Li 0.152 0.000 0.375
Sc1 Sc 0.000 0.500 0.000
Sc2 Sc 0.211 0.500 0.841
Se1 Se 0.071 0.000 0.866
Se2 Se 0.244 0.500 0.313
```

Record 16
The following is a DFT calculation (PBE-GGA) of a geometry-optimized LiSc2Se structure.

Values from the calculation:
Electronic total energy   -4.9853 eV/atom
Calculated volume   25.8 A^3/atom
N(E_F)   0.5711 states/eV/atom

Structure (CIF):
```
data_LiSc2Se
_cell_length_a 3.5471
_cell_length_b 3.5471
_cell_length_c 28.4310
_cell_angle_alpha 90.00
_cell_angle_beta 90.00
_cell_angle_gamma 120.00
_space_group_name_H-M_alt 'R -3 m'
_space_group_IT_number 166
_space_group_name_Hall '-R 3 2"'
loop_
_atom_site_label
_atom_site_type_symbol
_atom_site_fract_x
_atom_site_fract_y
_atom_site_fract_z
Li1 Li 0.0000 0.0000 0.0000
Sc1 Sc 0.0000 0.0000 0.1082
Se1 Se 0.0000 0.0000 0.5000
```

Record 17
The following is a DFT calculation (PBE-GGA) of a geometry-optimized LiScSe2 structure.

Values from the calculation:
Electronic total energy   -5.0525 eV/atom
Calculated volume   20.7 A^3/atom
N(E_F)   0.1552 states/eV/atom

Structure (CIF):
```
data_LiScSe2
_cell_length_a 3.459
_cell_length_b 3.429
_cell_length_c 7.068
_cell_angle_alpha 90.00
_cell_angle_beta 98.41
_cell_angle_gamma 90.00
_space_group_name_H-M_alt 'P 1 2/m 1'
_space_group_IT_number 10
loop_
_space_group_symop_operation_xyz
'x,y,z'
'-x,-y,-z'
'-x,y,-z'
'x,-y,z'
loop_
_atom_site_label
_atom_site_type_symbol
_atom_site_fract_x
_atom_site_fract_y
_atom_site_fract_z
Li1 Li 0.000 0.000 0.000
Sc1 Sc 0.500 0.000 0.500
Se1 Se 0.121 0.500 0.728
```

Record 18
The following is a DFT calculation (PBE-GGA) of a geometry-optimized Li3ScSe structure.

Values from the calculation:
Electronic total energy   -3.3120 eV/atom
Calculated volume   22.4 A^3/atom
N(E_F)   0.4841 states/eV/atom

Structure (CIF):
```
data_Li3ScSe
_cell_length_a 4.823
_cell_length_b 4.823
_cell_length_c 4.823
_cell_angle_alpha 90.00
_cell_angle_beta 90.00
_cell_angle_gamma 90.00
_space_group_name_H-M_alt 'P m -3 m'
_space_group_IT_number 221
_space_group_name_Hall '-P 4 2 3'
loop_
_atom_site_label
_atom_site_type_symbol
_atom_site_fract_x
_atom_site_fract_y
_atom_site_fract_z
Li1 Li 0.000 0.000 0.500
Sc1 Sc 0.500 0.500 0.500
Se1 Se 0.000 0.000 0.000
```

Record 19
The following is a DFT calculation (PBE-GGA) of a geometry-optimized Li2ScSe structure.

Values from the calculation:
Electronic total energy   -4.0230 eV/atom
Calculated volume   19.9 A^3/atom
N(E_F)   0.6400 states/eV/atom

Structure (CIF):
```
data_Li2ScSe
_cell_length_a 3.844
_cell_length_b 4.111
_cell_length_c 5.332
_cell_angle_alpha 90.00
_cell_angle_beta 109.33
_cell_angle_gamma 90.00
_space_group_name_H-M_alt 'P 1 2/m 1'
_space_group_IT_number 10
loop_
_space_group_symop_operation_xyz
'x,y,z'
'-x,-y,-z'
'-x,y,-z'
'x,-y,z'
loop_
_atom_site_label
_atom_site_type_symbol
_atom_site_fract_x
_atom_site_fract_y
_atom_site_fract_z
Li1 Li 0.150 0.000 0.289
Sc1 Sc 0.500 0.500 0.000
Se1 Se 0.500 0.500 0.500
```

Record 20
The following is a DFT calculation (PBE-GGA) of a geometry-optimized LiScSe2 structure.

Values from the calculation:
Electronic total energy   -5.3594 eV/atom
Calculated volume   21.5 A^3/atom

Structure (CIF):
```
data_LiScSe2
_cell_length_a 3.8434
_cell_length_b 3.8434
_cell_length_c 20.1532
_cell_angle_alpha 90.00
_cell_angle_beta 90.00
_cell_angle_gamma 120.00
_space_group_name_H-M_alt 'R 3 m'
_space_group_IT_number 160
_space_group_name_Hall 'R 3 -2"'
loop_
_atom_site_label
_atom_site_type_symbol
_atom_site_fract_x
_atom_site_fract_y
_atom_site_fract_z
Li1 Li 0.0000 0.0000 0.0000
Sc1 Sc 0.0000 0.0000 0.1708
Se1 Se 0.0000 0.0000 0.5822
Se2 Se 0.0000 0.0000 0.7598
```